{"formula": "NaCa3C4O12", "functional": "PBE", "state": "optimized geometry", "lattice": [[6.615, 0.127, 0.176], [-1.471, 6.451, 0.176], [-1.471, -1.881, 6.173]], "species": ["Na", "O", "O", "O", "O", "O", "O", "O", "O", "O", "O", "O", "O", "Ca", "Ca", "Ca", "C", "C", "C", "C"], "fractional_positions": [[0.000, 0.000, 0.000], [0.833, 0.018, 0.614], [0.374, 0.626, 0.500], [0.018, 0.614, 0.833], [0.500, 0.374, 0.626], [0.614, 0.833, 0.018], [0.095, 0.905, 0.500], [0.905, 0.500, 0.095], [0.386, 0.982, 0.167], [0.982, 0.167, 0.386], [0.500, 0.095, 0.905], [0.626, 0.500, 0.374], [0.167, 0.386, 0.982], [0.000, 0.532, 0.468], [0.532, 0.468, 0.000], [0.468, 0.000, 0.532], [0.500, 0.500, 0.500], [0.500, 0.969, 0.031], [0.969, 0.031, 0.500], [0.031, 0.500, 0.969]], "raw_formation_energy_ev_per_fu": -40.641}